No. 1
Entry from the Alexandria database: a geometry-optimized Sc2CuRh structure (GGA-PBE).

The structure belongs to space group Cm (No. 8); the cell edges are 9.907, 3.104 and 4.676 Å and the angles 90.00°, 103.77° and 90.00°. Symmetry generates all atoms from Sc at (0.000, 0.000, 0.000), Sc at (0.217, 0.000, 0.623), Cu at (0.250, 0.500, 0.153) and Rh at (0.471, 0.000, 0.485).

The density of states at the Fermi level comes out at 0.74 states/eV/atom. As for the energy of formation: -0.49 eV/atom.

***

No. 2
Entry from the Alexandria database: a geometry-optimized Sc2CuRh structure (GGA-PBE).

The structure belongs to space group Pmma (No. 51); the cell edges are 4.602, 3.231 and 9.233 Å and the angles 90.00°, 90.00° and 90.00°. Symmetry generates all atoms from Sc at (0.250, 0.000, 0.121), Sc at (0.250, 0.000, 0.627), Cu at (0.250, 0.500, 0.367) and Rh at (0.250, 0.500, 0.872).

The density of states at the Fermi level comes out at 0.56 states/eV/atom. As for the energy of formation: -0.65 eV/atom.

***

Number 1: volume 139.63 Å³ per cell. Number 2: volume 137.30 Å³ per cell.